No. 1
PmSm5Tl | GGA-PBE | relaxed

Calculated values
* space group: P4/mmm

Cell and atoms, written as POSCAR:
```
PmSm5Tl
1.0
-2.211 -5.301 -0.627
5.327 -2.147 -0.630
0.431 -1.024 7.139
Tl Pm Sm
1 1 5
Cartesian
0.000 0.000 0.000
0.215 -0.512 3.570
-0.784 -3.413 5.002
1.558 -3.724 -0.628
-0.995 -2.912 1.510
2.984 -1.836 5.001
2.773 -1.335 1.508
```

No. 2
Pm6Sm2Tl | GGA-PBE | relaxed

Calculated values
* space group: C2/m

Cell and atoms, written as POSCAR:
```
Pm6Sm2Tl
1.0
3.244 0.000 -1.216
0.000 9.868 0.000
-3.449 -4.934 10.448
Sm Pm Tl
2 6 1
Cartesian
-1.218 0.000 6.566
1.014 4.934 2.666
-0.614 1.616 3.222
1.622 6.674 -0.608
0.410 -3.318 6.010
-0.614 8.253 3.222
1.622 3.194 -0.608
0.410 3.318 6.010
0.000 0.000 0.000
```

No. 3
Pm2Sm7Tl2 | GGA-PBE | relaxed

Calculated values
* space group: Imm2

Cell and atoms, written as POSCAR:
```
Pm2Sm7Tl2
1.0
-3.601 -0.122 0.842
-0.510 -10.512 4.428
0.765 -3.153 10.947
Sm Pm Tl
7 2 2
Cartesian
-0.093 -3.216 7.271
-1.106 -3.622 11.007
-2.835 -1.500 3.920
-2.641 -7.035 12.080
-2.280 -5.758 5.677
-0.229 -10.655 13.744
-1.281 -9.267 9.443
-1.539 -6.118 8.796
-0.180 -8.606 6.117
-2.617 -11.132 11.591
-0.981 -4.107 3.341
```

No. 4
PmSm2Tl2 | GGA-PBE | relaxed

Calculated values
* space group: P6_3/mmc

Cell and atoms, written as POSCAR:
```
PmSm2Tl2
1.0
-2.674 4.104 1.868
-0.871 -1.692 -4.884
-9.269 -8.063 4.446
Tl Sm Pm
4 4 2
Cartesian
-5.528 -0.834 1.275
-3.252 1.146 0.183
-7.286 -4.818 0.155
-9.561 -6.798 1.247
-9.025 -3.876 2.952
0.000 0.000 0.000
-4.635 -4.032 2.223
-3.789 -1.776 -1.522
-6.952 -6.047 3.335
-2.317 -2.016 1.112
```

no.,energy of formation (eV per formula unit),total DFT energy (no corrections) (eV/atom)
1,1.96,-4.108
2,0.20,-4.457
3,-0.27,-4.322
4,-0.15,-3.815